No. 1
Density functional theory data (PBE) for TbSc3Al after structural relaxation.

Geometry as extended XYZ:
```
10
Lattice="3.270 -0.001 0.000 -1.623 7.858 0.000 0.000 0.000 10.210" Properties=species:S:1:pos:R:3 pbc="T T T"
Tb -0.817 4.094 2.553
Tb 2.465 3.763 7.658
Sc 2.453 1.451 0.134
Sc -0.806 6.405 10.076
Sc 2.453 1.451 4.971
Sc -0.806 6.405 5.239
Sc 0.828 7.074 2.553
Sc 0.820 0.783 7.658
Al 0.817 1.575 2.553
Al 0.830 6.282 7.658
```

Its density of states at the Fermi level is 15.3 states/eV/cell. Its total magnetization is 0.00 μB per formula unit. The calculation puts the formation energy at 0.11 eV/f.u. The electronic total energy is -54.52 eV for the cell shown. Its polymorph energy (0 for the lowest one) is 176.8 meV per atom.

***

No. 2
Density functional theory data (PBE) for TbScAl after structural relaxation.

Geometry as extended XYZ:
```
3
Lattice="3.320 0.000 0.000 0.000 3.320 0.000 -1.660 -1.660 6.520" Properties=species:S:1:pos:R:3 pbc="T T T"
Sc 0.000 0.000 3.944
Tb 1.660 1.660 1.368
Al 1.660 1.660 5.772
```

Its density of states at the Fermi level is 2.4 states/eV/cell. Its total magnetization is 0.00 μB per formula unit. The calculation puts the formation energy at -0.77 eV/f.u. The electronic total energy is -15.48 eV for the cell shown. Its polymorph energy (0 for the lowest one) is 28.6 meV per atom.

***

No. 3
Density functional theory data (PBE) for TbScAl after structural relaxation.

Geometry as extended XYZ:
```
6
Lattice="5.244 0.000 0.000 0.000 5.916 0.780 0.000 0.256 5.962" Properties=species:S:1:pos:R:3 pbc="T T T"
Sc 0.000 0.000 0.000
Sc 2.622 3.086 3.371
Tb 0.000 4.166 4.550
Tb 0.000 2.006 2.191
Al 2.622 1.166 5.129
Al 2.622 5.007 1.612
```

Its density of states at the Fermi level is 7.4 states/eV/cell. Its total magnetization is 0.38 μB per formula unit. The calculation puts the formation energy at 2.07 eV/f.u. The electronic total energy is -25.27 eV for the cell shown. Its polymorph energy (0 for the lowest one) is 975.4 meV per atom.

***

Q: Look up the electronic total energy of the second one.
A: -15.48 eV for the cell shown

***

Q: What is the electronic total energy in the third record?
A: -25.27 eV for the cell shown